8
Lattice="-1.127 -3.352 1.180 6.171 -1.296 2.212 -1.305 2.168 4.911" Properties=species:S:1:pos:R:3 comment="PBE-GGA CdAsIrO, relaxed" sg="Pmc2_1 (26)" vol_a3_per_cell=137.6 m_tot_mub_per_atom=0.00 total_energy_ev_per_atom=-5.196 pbc="T T T"
As 3.617 -0.050 3.312
Ir 2.356 -2.056 2.299
O 0.595 -1.211 3.016
O 2.821 -0.732 6.503
Cd 4.543 0.717 6.376
Ir 1.715 -0.974 4.758
Cd -0.023 0.729 2.049
As 0.924 1.463 5.036